Record 1
{
  "formula": "RbErMgBr6",
  "functional": "PBE",
  "state": "optimized geometry",
  "lattice": [[-0.148, -5.527, -4.512], [5.587, 0.910, 4.345], [-6.994, -8.628, 10.800]],
  "species": ["Br", "Br", "Br", "Er", "Mg", "Rb", "Rb", "Br", "Br", "Br", "Br", "Br", "Br", "Mg", "Br", "Br", "Er", "Br"],
  "fractional_positions": [[0.630, 0.008, 0.852], [0.378, 0.008, 0.648], [0.622, 0.630, 0.148], [0.333, 0.667, 0.750], [0.667, 0.333, 0.750], [0.000, 0.000, 0.500], [0.000, 0.000, 0.000], [0.378, 0.370, 0.852], [0.008, 0.378, 0.148], [0.008, 0.630, 0.352], [0.630, 0.622, 0.648], [0.622, 0.992, 0.352], [0.992, 0.370, 0.648], [0.333, 0.667, 0.250], [0.370, 0.992, 0.148], [0.370, 0.378, 0.352], [0.667, 0.333, 0.250], [0.992, 0.622, 0.852]]
}

Record 2
{
  "formula": "RbErMg2Br8",
  "functional": "PBE",
  "state": "optimized geometry",
  "lattice": [[-4.060, -2.581, -4.990], [-0.108, -6.846, 1.268], [-8.352, -1.368, 4.564]],
  "species": ["Br", "Br", "Mg", "Br", "Br", "Br", "Mg", "Br", "Br", "Rb", "Br", "Er"],
  "fractional_positions": [[0.751, 0.208, 0.211], [0.814, 0.274, 0.777], [0.547, 0.552, 0.286], [0.724, 0.756, 0.043], [0.249, 0.792, 0.789], [0.276, 0.244, 0.957], [0.453, 0.448, 0.714], [0.644, 0.687, 0.481], [0.356, 0.313, 0.519], [0.000, 0.000, 0.500], [0.186, 0.726, 0.223], [0.000, 0.000, 0.000]]
}

Record 3
{
  "formula": "ErMgTlBr6",
  "functional": "PBE",
  "state": "optimized geometry",
  "lattice": [[7.139, 0.000, 0.000], [-3.569, 6.182, 0.000], [0.000, 0.000, 14.622]],
  "species": ["Br", "Br", "Br", "Er", "Br", "Mg", "Br", "Mg", "Br", "Tl", "Br", "Br", "Er", "Br", "Br", "Tl", "Br", "Br"],
  "fractional_positions": [[0.991, 0.624, 0.858], [0.009, 0.632, 0.358], [0.009, 0.376, 0.142], [0.667, 0.333, 0.250], [0.376, 0.009, 0.642], [0.333, 0.667, 0.250], [0.624, 0.991, 0.358], [0.667, 0.333, 0.750], [0.368, 0.991, 0.142], [0.000, 0.000, 0.000], [0.991, 0.368, 0.642], [0.368, 0.376, 0.358], [0.333, 0.667, 0.750], [0.632, 0.009, 0.858], [0.624, 0.632, 0.142], [0.000, 0.000, 0.500], [0.632, 0.624, 0.642], [0.376, 0.368, 0.858]]
}

Record 4
{
  "formula": "NaErMnBr6",
  "functional": "PBE",
  "state": "optimized geometry",
  "lattice": [[-2.963, 4.465, -4.521], [-3.266, -1.603, 5.993], [6.154, 10.257, 6.096]],
  "species": ["Br", "Br", "Er", "Br", "Br", "Mn", "Er", "Na", "Mn", "Br", "Na", "Br", "Br", "Br", "Br", "Br", "Br", "Br"],
  "fractional_positions": [[0.991, 0.353, 0.133], [0.638, 0.991, 0.867], [0.667, 0.333, 0.750], [0.009, 0.362, 0.633], [0.353, 0.991, 0.633], [0.333, 0.667, 0.750], [0.333, 0.667, 0.250], [0.000, 0.000, 0.000], [0.667, 0.333, 0.250], [0.362, 0.009, 0.133], [0.000, 0.000, 0.500], [0.638, 0.647, 0.633], [0.647, 0.009, 0.367], [0.991, 0.638, 0.367], [0.009, 0.647, 0.867], [0.647, 0.638, 0.133], [0.362, 0.353, 0.367], [0.353, 0.362, 0.867]]
}

ΔE_f (raw)
In order: -1.735; -1.593; -1.522; -1.432
Unit: eV per atom